[1]
The following is a DFT calculation (GGA-PBE) of YCuAu3 after structural relaxation.

Cell and atoms, written as POSCAR:
```
YCuAu3
1.0
-4.0779 0.5057 3.5681
-0.2865 -5.4167 0.4402
3.5923 0.1420 4.0855
Au Cu Y
3 1 1
Cartesian
1.7962 0.0710 2.0427 Au
-0.1433 -2.7083 0.2201 Au
-2.0389 0.2528 1.7841 Au
-0.3860 -2.3845 4.0469 Cu
0.0000 0.0000 0.0000 Y
```

Properties
Space group: Pm-3m (221)
Relative energy among the computed polymorphs (meV per atom): 869

=====

[2]
The following is a DFT calculation (GGA-PBE) of Y2CuAu2 after structural relaxation.

Cell and atoms, written as POSCAR:
```
Y2CuAu2
1.0
7.6636 0.0000 0.0000
0.0000 7.6636 0.0000
0.0000 0.0000 3.8738
Cu Y Au
2 4 4
Cartesian
0.0000 0.0000 0.0000 Cu
3.8318 3.8318 0.0000 Cu
2.5318 1.3000 1.9369 Y
5.1318 6.3636 1.9369 Y
6.3636 2.5318 1.9369 Y
1.3000 5.1318 1.9369 Y
4.8564 1.0246 0.0000 Au
1.0246 2.8072 0.0000 Au
6.6391 4.8564 0.0000 Au
2.8072 6.6391 0.0000 Au
```

Properties
Space group: P4/mbm (127)
Relative energy among the computed polymorphs (meV per atom): 0

=====

[3]
The following is a DFT calculation (GGA-PBE) of Y2CuAu after structural relaxation.

Cell and atoms, written as POSCAR:
```
Y2CuAu
1.0
4.8700 0.0000 0.0000
2.4350 4.2176 0.0000
2.4350 1.4059 3.9764
Y Cu Au
2 1 1
Cartesian
0.0000 0.0000 0.0000 Y
2.4350 1.4059 0.9941 Y
7.3050 4.2176 2.9823 Cu
4.8700 2.8117 1.9882 Au
```

Properties
Space group: F-43m (216)

=====

[4]
The following is a DFT calculation (GGA-PBE) of YCu3Au after structural relaxation.

Cell and atoms, written as POSCAR:
```
YCu3Au
1.0
4.7469 0.0000 0.0000
0.0000 4.7469 0.0000
0.0000 0.0000 4.7469
Cu Au Y
3 1 1
Cartesian
0.0000 0.0000 2.3735 Cu
0.0000 2.3735 0.0000 Cu
2.3735 0.0000 0.0000 Cu
0.0000 0.0000 0.0000 Au
2.3735 2.3735 2.3735 Y
```

Properties
Space group: Pm-3m (221)
Relative energy among the computed polymorphs (meV per atom): 0

=====

[5]
The following is a DFT calculation (GGA-PBE) of Y3CuAu after structural relaxation.

Cell and atoms, written as POSCAR:
```
Y3CuAu
1.0
5.2491 0.0000 0.0000
0.0000 5.2491 0.0000
0.0000 0.0000 5.2491
Y Cu Au
3 1 1
Cartesian
2.6246 0.0000 0.0000 Y
0.0000 0.0000 2.6246 Y
0.0000 2.6246 0.0000 Y
0.0000 0.0000 0.0000 Cu
2.6246 2.6246 2.6246 Au
```

Properties
Space group: Pm-3m (221)
Relative energy among the computed polymorphs (meV per atom): 0

=====

[6]
The following is a DFT calculation (GGA-PBE) of Y2CuAu2 after structural relaxation.

Cell and atoms, written as POSCAR:
```
Y2CuAu2
1.0
-5.4613 -0.0515 1.4026
-0.7435 -4.6732 -3.0667
-2.2811 -4.5392 2.2859
Cu Y Au
1 2 2
Cartesian
0.0000 0.0000 0.0000 Cu
-3.0635 -5.7873 -0.8064 Y
-5.4224 -3.4765 1.4283 Y
-5.6578 -6.1747 0.4129 Au
-2.8282 -3.0891 0.2090 Au
```

Properties
Space group: I4/mmm (139)
Relative energy among the computed polymorphs (meV per atom): 231

=====

[7]
The following is a DFT calculation (GGA-PBE) of Y2Cu2Au after structural relaxation.

Cell and atoms, written as POSCAR:
```
Y2Cu2Au
1.0
5.4110 0.0000 0.0000
0.0000 5.4110 0.0000
2.7055 2.7055 3.7214
Cu Y Au
2 2 1
Cartesian
5.4110 5.4110 2.6111 Cu
2.7055 2.7055 1.1103 Cu
5.4110 2.7055 1.8607 Y
2.7055 5.4110 1.8607 Y
0.0000 0.0000 0.0000 Au
```

Properties
Space group: I4/mmm (139)
Relative energy among the computed polymorphs (meV per atom): 194

=====

[8]
The following is a DFT calculation (GGA-PBE) of YCu2Au2 after structural relaxation.

Cell and atoms, written as POSCAR:
```
YCu2Au2
1.0
3.8115 0.0000 0.0000
0.0000 3.8115 0.0000
1.9058 1.9058 6.4686
Y Cu Au
1 2 2
Cartesian
0.0000 0.0000 0.0000 Y
3.8115 1.9058 3.2343 Cu
1.9058 3.8115 3.2343 Cu
1.9058 1.9058 1.4168 Au
3.8115 3.8115 5.0519 Au
```

Properties
Space group: I4/mmm (139)
Relative energy among the computed polymorphs (meV per atom): 0

=====

Taking the records one at a time from the top gives energy relative to the elements values of 0.76; -0.58; -0.25; 0.32; 0.07; -0.35; -0.25; -0.37 eV per atom.
Taking the records one at a time from the top gives ρ values of 7659; 9274; 8912; 7398; 6053; 8528; 7649; 10777 kg/m3.